This record from Alexandria via LeMat-Bulk describes crystalline BaNi3O at its relaxed geometry. The functional is PBE with a Hubbard U.

Geometry as POSCAR:
```
BaNi3O
1.0
-0.659 3.921 1.879
-4.039 -1.255 1.204
1.610 -1.545 3.789
Ni Ba O
3 1 1
direct
0.000 0.500 0.000 Ni
0.000 0.000 0.500 Ni
0.500 0.000 0.000 Ni
0.500 0.500 0.500 Ba
0.000 0.000 0.000 O
```

Properties
The crystal system is cubic. The value obtained for the energy above the lowest structure with this stoichiometry is 0 meV/atom. The density of states at the Fermi level is 1.21 states/eV/cell. Its raw total energy is -2.577 eV/atom. The size of the total moment is 2.113 μB/f.u.